[1]
A geometry-optimized Rb2HfSi3O9 structure, computed with GGA-PBE.

Cell lengths 7.005, 7.005, 10.209 Å; angles 90.00, 90.00, 120.00 degrees
Fractional coordinates of all 30 atoms:
Si: 0.132 0.385 0.750
O: 0.227 0.972 0.884
O: 0.746 0.773 0.616
Rb: 0.667 0.333 0.941
O: 0.403 0.490 0.750
Si: 0.868 0.615 0.250
Rb: 0.333 0.667 0.441
O: 0.773 0.028 0.116
O: 0.087 0.597 0.750
Rb: 0.333 0.667 0.059
O: 0.913 0.403 0.250
Si: 0.253 0.868 0.750
O: 0.972 0.746 0.384
O: 0.028 0.254 0.884
O: 0.227 0.972 0.616
Hf: 0.000 0.000 0.000
O: 0.254 0.227 0.116
O: 0.972 0.746 0.116
O: 0.773 0.028 0.384
Si: 0.747 0.132 0.250
O: 0.597 0.510 0.250
Rb: 0.667 0.333 0.559
Hf: 0.000 0.000 0.500
O: 0.254 0.227 0.384
O: 0.510 0.913 0.750
Si: 0.385 0.253 0.250
O: 0.028 0.254 0.616
O: 0.490 0.087 0.250
O: 0.746 0.773 0.884
Si: 0.615 0.747 0.750

Uncorrected energy ... -231.1 eV/cell

=====

[2]
A geometry-optimized Y4AsAuN2 structure, computed with GGA-PBE.

Cell lengths 3.591, 3.591, 13.943 Å; angles 90.00, 90.00, 120.00 degrees
Fractional coordinates of all 8 atoms:
Au: 0.667 0.333 0.500
Y: 0.000 0.000 0.656
Y: 0.667 0.333 0.148
Y: 0.000 0.000 0.344
N: 0.333 0.667 0.240
N: 0.333 0.667 0.760
As: 0.000 0.000 0.000
Y: 0.667 0.333 0.852

Uncorrected energy ... -60.3 eV/cell

=====

[3]
A geometry-optimized Sc2CuAu structure, computed with GGA-PBE.

Cell lengths 6.553, 6.748, 6.700 Å; angles 90.00, 90.00, 90.00 degrees
Fractional coordinates of all 16 atoms:
Au: 0.505 0.250 0.000
Cu: 0.996 0.250 0.000
Au: 0.995 0.250 0.500
Cu: 0.496 0.750 0.500
Sc: 0.750 0.998 0.749
Sc: 0.750 0.502 0.749
Sc: 0.250 0.002 0.251
Sc: 0.750 0.502 0.249
Au: 0.495 0.750 0.000
Sc: 0.250 0.002 0.751
Cu: 0.004 0.750 0.000
Sc: 0.250 0.498 0.251
Cu: 0.504 0.250 0.500
Sc: 0.750 0.998 0.249
Au: 0.005 0.750 0.500
Sc: 0.250 0.498 0.751

Energy above the lowest structure with this stoichiometry ... 6 meV/atom
Calculated formation energy ... -0.542 eV/atom
Uncorrected energy ... -87.2 eV/cell

=====

[4]
A geometry-optimized HfIn2Sb structure, computed with GGA-PBE.

Cell lengths 5.171, 5.171, 5.171 Å; angles 60.00, 60.00, 60.00 degrees
Fractional coordinates of all 4 atoms:
In: 0.250 0.250 0.250
Hf: 0.500 0.500 0.500
In: 0.000 0.000 0.000
Sb: 0.750 0.750 0.750

Uncorrected energy ... -18.8 eV/cell